<A>
Computed, not measured: Pm3Dy5Ho after structural relaxation at the PBE-GGA level of DFT.

* magnetization: 0.0 μB/cell
* DOS at the Fermi energy: 22.2 states/eV per cell

a b c (Å): 6.1599 10.9556 11.5749
angles (deg): 124.66 90.00 106.33
Sites, in units of the cell vectors:
Pm (0.0000, 0.0000, 0.5000)
Pm (0.3999, 0.3616, 0.3274)
Pm (0.0000, 0.0000, 0.0000)
Pm (0.6001, 0.6384, 0.6726)
Pm (0.9617, 0.3616, 0.8274)
Pm (0.0383, 0.6384, 0.1726)
Dy (0.8163, 0.2762, 0.1307)
Dy (0.4297, 0.0000, 0.7500)
Dy (0.9824, 0.3571, 0.5226)
Dy (0.6253, 0.6429, 0.9774)
Dy (0.0176, 0.6429, 0.4774)
Dy (0.1837, 0.7238, 0.8693)
Dy (0.5703, 0.0000, 0.2500)
Dy (0.3747, 0.3571, 0.0226)
Dy (0.4599, 0.2762, 0.6307)
Dy (0.5401, 0.7238, 0.3693)
Ho (0.0802, 0.0000, 0.2500)
Ho (0.9198, 0.0000, 0.7500)

<B>
Computed, not measured: Pm3Dy5Ho after structural relaxation at the PBE-GGA level of DFT.

* magnetization: 0.0 μB/cell
* DOS at the Fermi energy: 21.6 states/eV per cell

a b c (Å): 8.7145 8.7145 9.8982
angles (deg): 116.12 116.12 90.00
Sites, in units of the cell vectors:
Ho (0.2500, 0.7500, 0.5000)
Ho (0.7500, 0.2500, 0.5000)
Dy (0.3478, 0.8478, 0.2756)
Dy (0.9278, 0.4278, 0.2756)
Dy (0.0722, 0.5722, 0.7244)
Dy (0.5000, 0.5000, 0.0000)
Dy (0.0000, 0.0000, 0.0000)
Dy (0.6522, 0.1522, 0.7244)
Dy (0.8478, 0.9278, 0.2756)
Dy (0.1522, 0.0722, 0.7244)
Dy (0.5722, 0.6522, 0.7244)
Dy (0.4278, 0.3478, 0.2756)
Pm (0.1167, 0.3833, 0.0000)
Pm (0.6167, 0.1167, 0.0000)
Pm (0.2500, 0.2500, 0.5000)
Pm (0.7500, 0.7500, 0.5000)
Pm (0.8833, 0.6167, 0.0000)
Pm (0.3833, 0.8833, 0.0000)

Which structure is the most stable? The one labeled <B>.

<A>
Computed, not measured: Pm4Dy7Ho after structural relaxation at the PBE-GGA level of DFT.

* magnetization: 0.0 μB/cell
* DOS at the Fermi energy: 20.1 states/eV per cell

a b c (Å): 5.9209 11.6493 6.7305
angles (deg): 83.67 63.91 75.28
Sites, in units of the cell vectors:
Ho (0.0000, 0.0000, 0.0000)
Dy (0.5000, 0.0000, 0.0000)
Dy (0.9324, 0.3130, 0.8223)
Dy (0.0676, 0.6870, 0.1777)
Dy (0.6318, 0.5042, 0.2323)
Dy (0.7882, 0.9237, 0.4999)
Dy (0.3682, 0.4958, 0.7677)
Dy (0.2118, 0.0763, 0.5001)
Pm (0.7739, 0.6691, 0.7831)
Pm (0.6405, 0.2227, 0.4962)
Pm (0.3595, 0.7773, 0.5038)
Pm (0.2261, 0.3309, 0.2169)

<B>
Computed, not measured: Pm4Dy7Ho after structural relaxation at the PBE-GGA level of DFT.

* magnetization: 0.0 μB/cell
* DOS at the Fermi energy: 18.9 states/eV per cell

a b c (Å): 6.8299 6.5430 11.8121
angles (deg): 75.47 50.15 82.05
Sites, in units of the cell vectors:
Dy (0.1963, 0.4881, 0.0509)
Dy (0.8037, 0.5119, 0.9491)
Dy (0.9423, 0.6827, 0.3593)
Dy (0.7215, 0.1889, 0.3846)
Dy (0.5000, 0.0000, 0.0000)
Dy (0.0577, 0.3173, 0.6407)
Dy (0.2785, 0.8111, 0.6154)
Pm (0.3093, 0.1610, 0.3070)
Pm (0.6907, 0.8390, 0.6930)
Pm (0.5267, 0.6393, 0.2831)
Pm (0.4733, 0.3607, 0.7169)
Ho (0.0000, 0.0000, 0.0000)

Which structure is the most stable? The one labeled <B>.

<A>
Computed, not measured: PmDy5Ho2 after structural relaxation at the PBE-GGA level of DFT.

* magnetization: 0.0 μB/cell
* DOS at the Fermi energy: 18.8 states/eV per cell

a b c (Å): 5.0114 7.1054 14.2128
angles (deg): 90.00 90.00 90.00
Sites, in units of the cell vectors:
Dy (0.0000, 0.5000, 0.5000)
Dy (0.0000, 0.5006, 0.2508)
Dy (0.5000, 0.7509, 0.1257)
Dy (0.0000, 0.4994, 0.7492)
Dy (0.5000, 0.2509, 0.3743)
Dy (0.5000, 0.2491, 0.8743)
Dy (0.0000, 0.0000, 0.0000)
Dy (0.0000, 0.9994, 0.7508)
Dy (0.0000, 0.0006, 0.2492)
Dy (0.5000, 0.7491, 0.6257)
Ho (0.5000, 0.7501, 0.8745)
Ho (0.5000, 0.7499, 0.3745)
Ho (0.5000, 0.2499, 0.1255)
Ho (0.5000, 0.2501, 0.6255)
Pm (0.0000, 0.0000, 0.5000)
Pm (0.0000, 0.5000, 0.0000)

<B>
Computed, not measured: PmDy5Ho2 after structural relaxation at the PBE-GGA level of DFT.

* magnetization: 0.0 μB/cell
* DOS at the Fermi energy: 24.7 states/eV per cell

a b c (Å): 8.7996 16.3059 11.2013
angles (deg): 90.00 90.00 161.03
Sites, in units of the cell vectors:
Pm (0.3438, 0.8448, 0.7500)
Pm (0.6562, 0.1552, 0.2500)
Dy (0.5142, 0.3170, 0.9238)
Dy (0.4514, 0.6843, 0.7500)
Dy (0.3790, 0.0444, 0.9234)
Dy (0.4858, 0.6830, 0.4238)
Dy (0.6210, 0.9556, 0.4234)
Dy (0.6210, 0.9556, 0.0766)
Dy (0.3790, 0.0444, 0.5766)
Dy (0.5142, 0.3170, 0.5762)
Dy (0.4858, 0.6830, 0.0762)
Dy (0.5486, 0.3157, 0.2500)
Ho (0.3120, 0.4239, 0.8833)
Ho (0.3120, 0.4239, 0.6167)
Ho (0.6880, 0.5761, 0.1167)
Ho (0.6879, 0.5761, 0.3833)

Which structure is the most stable? The one labeled <A>.

<A>
Computed, not measured: Pm7Dy3Ho2 after structural relaxation at the PBE-GGA level of DFT.

* magnetization: 0.0 μB/cell
* DOS at the Fermi energy: 17.8 states/eV per cell

a b c (Å): 3.5564 6.4300 18.0581
angles (deg): 75.21 90.00 90.00
Sites, in units of the cell vectors:
Pm (0.0000, 0.4426, 0.8326)
Pm (0.0000, 0.0000, 0.0000)
Pm (0.5000, 0.9466, 0.8292)
Pm (0.5000, 0.0534, 0.1708)
Pm (0.5000, 0.7617, 0.4954)
Pm (0.5000, 0.2383, 0.5046)
Pm (0.0000, 0.5574, 0.1674)
Ho (0.5000, 0.6112, 0.3296)
Ho (0.5000, 0.3888, 0.6704)
Dy (0.0000, 0.8872, 0.6596)
Dy (0.0000, 0.1128, 0.3404)
Dy (0.5000, 0.5000, 0.0000)

<B>
Computed, not measured: Pm7Dy3Ho2 after structural relaxation at the PBE-GGA level of DFT.

* magnetization: 0.0 μB/cell
* DOS at the Fermi energy: 17.8 states/eV per cell

a b c (Å): 4.6471 5.5029 16.4282
angles (deg): 99.64 90.00 90.00
Sites, in units of the cell vectors:
Dy (0.5000, 0.5000, 0.0000)
Dy (0.5000, 0.3422, 0.6844)
Dy (0.5000, 0.6578, 0.3156)
Pm (0.0000, 0.4176, 0.8352)
Pm (0.0000, 0.0000, 0.0000)
Pm (0.0000, 0.5824, 0.1648)
Pm (0.5000, 0.9203, 0.8407)
Pm (0.0000, 0.7357, 0.4713)
Pm (0.5000, 0.0797, 0.1593)
Pm (0.0000, 0.2643, 0.5287)
Ho (0.0000, 0.8402, 0.6804)
Ho (0.0000, 0.1598, 0.3196)

Which structure is the most stable? The one labeled <A>.

<A>
Computed, not measured: PmDy7Ho2 after structural relaxation at the PBE-GGA level of DFT.

* magnetization: 0.0 μB/cell
* DOS at the Fermi energy: 14.4 states/eV per cell

a b c (Å): 5.5919 9.1552 9.1552
angles (deg): 123.11 90.00 90.00
Sites, in units of the cell vectors:
Pm (0.0000, 0.0000, 0.0000)
Ho (0.5000, 0.7035, 0.2965)
Ho (0.5000, 0.2965, 0.7035)
Dy (0.5000, 0.5000, 0.5000)
Dy (0.5000, 0.9379, 0.7084)
Dy (0.5000, 0.7084, 0.9379)
Dy (0.5000, 0.2916, 0.0621)
Dy (0.0000, 0.7840, 0.2160)
Dy (0.5000, 0.0621, 0.2916)
Dy (0.0000, 0.2160, 0.7840)

<B>
Computed, not measured: PmDy7Ho2 after structural relaxation at the PBE-GGA level of DFT.

* magnetization: 0.0 μB/cell
* DOS at the Fermi energy: 17.0 states/eV per cell

a b c (Å): 5.4299 8.8711 9.4447
angles (deg): 117.97 106.69 52.22
Sites, in units of the cell vectors:
Ho (0.4997, 0.6997, 0.3984)
Ho (0.5003, 0.3003, 0.6016)
Dy (0.5000, 0.5000, 0.0000)
Dy (0.2485, 0.1415, 0.7804)
Dy (0.0002, 0.7994, 0.5997)
Dy (0.7515, 0.8585, 0.2196)
Dy (0.2486, 0.3614, 0.2194)
Dy (0.7514, 0.6386, 0.7806)
Dy (0.9998, 0.2006, 0.4003)
Pm (0.0000, 0.0000, 0.0000)

Which structure is the most stable? The one labeled <B>.

<A>
Computed, not measured: Pm3Dy2Ho5 after structural relaxation at the PBE-GGA level of DFT.

* magnetization: 0.0 μB/cell
* DOS at the Fermi energy: 35.1 states/eV per cell

a b c (Å): 6.3123 11.0467 11.0467
angles (deg): 98.96 73.40 73.40
Sites, in units of the cell vectors:
Dy (0.6032, 0.0529, 0.7407)
Dy (0.3968, 0.9471, 0.2593)
Dy (0.1032, 0.7407, 0.0529)
Dy (0.8968, 0.2593, 0.9471)
Ho (0.4013, 0.7547, 0.4427)
Ho (0.5987, 0.2453, 0.5573)
Ho (0.9974, 0.2526, 0.2526)
Ho (0.2500, 0.5000, 0.5000)
Ho (0.5026, 0.7474, 0.7474)
Ho (0.7500, 0.5000, 0.5000)
Ho (0.0987, 0.5573, 0.2453)
Ho (0.9013, 0.4427, 0.7547)
Ho (0.0026, 0.7474, 0.7474)
Ho (0.4974, 0.2526, 0.2526)
Pm (0.6575, 0.5958, 0.0892)
Pm (0.7500, 0.0000, 0.0000)
Pm (0.8425, 0.9108, 0.4042)
Pm (0.3425, 0.4042, 0.9108)
Pm (0.2500, 0.0000, 0.0000)
Pm (0.1575, 0.0892, 0.5958)

<B>
Computed, not measured: Pm3Dy2Ho5 after structural relaxation at the PBE-GGA level of DFT.

* magnetization: 0.0 μB/cell
* DOS at the Fermi energy: 36.2 states/eV per cell

a b c (Å): 9.4206 9.4027 11.1069
angles (deg): 125.07 125.11 69.10
Sites, in units of the cell vectors:
Pm (0.2685, 0.5263, 0.7483)
Pm (0.2337, 0.9837, 0.9673)
Pm (0.7315, 0.4737, 0.2517)
Pm (0.9798, 0.2220, 0.7483)
Pm (0.0202, 0.7780, 0.2517)
Pm (0.7663, 0.0163, 0.0327)
Ho (0.3740, 0.1232, 0.7272)
Ho (0.9741, 0.2241, 0.4482)
Ho (0.6260, 0.8768, 0.2728)
Ho (0.1468, 0.3960, 0.2728)
Ho (0.4708, 0.7208, 0.4416)
Ho (0.2721, 0.5221, 0.0442)
Ho (0.0259, 0.7759, 0.5518)
Ho (0.7279, 0.4779, 0.9558)
Ho (0.5292, 0.2792, 0.5584)
Ho (0.8532, 0.6040, 0.7272)
Dy (0.2296, 0.9869, 0.2635)
Dy (0.4661, 0.7234, 0.7365)
Dy (0.5339, 0.2766, 0.2635)
Dy (0.7704, 0.0131, 0.7365)

Which structure is the most stable? The one labeled <B>.

<A>
Computed, not measured: PmDy5Ho5 after structural relaxation at the PBE-GGA level of DFT.

* magnetization: 0.0 μB/cell
* DOS at the Fermi energy: 20.1 states/eV per cell

a b c (Å): 6.0490 6.0490 11.5427
angles (deg): 90.00 90.00 120.00
Sites, in units of the cell vectors:
Ho (0.0000, 0.0000, 0.2648)
Ho (0.8325, 0.6651, 0.5000)
Ho (0.3349, 0.1675, 0.5000)
Ho (0.8325, 0.1675, 0.5000)
Ho (0.0000, 0.0000, 0.7352)
Dy (0.3333, 0.6667, 0.6764)
Dy (0.0000, 0.0000, 0.0000)
Dy (0.3333, 0.6667, 0.3236)
Dy (0.6667, 0.3333, 0.1574)
Dy (0.6667, 0.3333, 0.8426)
Pm (0.3333, 0.6667, 0.0000)

<B>
Computed, not measured: PmDy5Ho5 after structural relaxation at the PBE-GGA level of DFT.

* magnetization: 0.0 μB/cell
* DOS at the Fermi energy: 14.7 states/eV per cell

a b c (Å): 6.8297 8.2838 9.4561
angles (deg): 45.39 88.83 102.86
Sites, in units of the cell vectors:
Ho (0.8430, 0.4877, 0.8696)
Ho (0.5000, 0.0000, 0.0000)
Ho (0.7951, 0.9559, 0.3635)
Ho (0.2049, 0.0441, 0.6365)
Ho (0.1570, 0.5123, 0.1304)
Dy (0.6739, 0.9191, 0.7352)
Dy (0.3548, 0.5362, 0.7451)
Dy (0.3261, 0.0809, 0.2648)
Dy (0.6452, 0.4638, 0.2549)
Dy (0.0000, 0.5000, 0.5000)
Pm (0.0000, 0.0000, 0.0000)

Which structure is the most stable? The one labeled <B>.

<A>
Computed, not measured: Pm3Dy3Ho2 after structural relaxation at the PBE-GGA level of DFT.

* magnetization: 0.0 μB/cell
* DOS at the Fermi energy: 18.3 states/eV per cell

a b c (Å): 5.9430 5.9426 8.4934
angles (deg): 110.50 110.48 90.00
Sites, in units of the cell vectors:
Dy (0.8746, 0.3743, 0.7493)
Dy (0.1254, 0.6257, 0.2507)
Dy (0.0000, 0.0000, 0.0000)
Pm (0.5000, 0.5000, 0.0000)
Pm (0.3721, 0.8723, 0.7443)
Pm (0.6279, 0.1277, 0.2557)
Ho (0.7510, 0.7505, 0.5020)
Ho (0.2490, 0.2495, 0.4980)

<B>
Computed, not measured: Pm3Dy3Ho2 after structural relaxation at the PBE-GGA level of DFT.

* magnetization: 0.0 μB/cell
* DOS at the Fermi energy: 11.8 states/eV per cell

a b c (Å): 5.0556 5.0593 10.7339
angles (deg): 103.60 103.62 90.00
Sites, in units of the cell vectors:
Dy (0.1264, 0.1264, 0.2528)
Dy (0.8736, 0.8736, 0.7472)
Dy (0.0000, 0.5000, 0.0000)
Ho (0.2504, 0.7505, 0.5009)
Ho (0.7496, 0.2495, 0.4991)
Pm (0.6256, 0.6255, 0.2511)
Pm (0.5000, 0.0000, 0.0000)
Pm (0.3744, 0.3745, 0.7489)

Which structure is the most stable? The one labeled <B>.

<A>
Computed, not measured: Pm2Dy3Ho after structural relaxation at the PBE-GGA level of DFT.

* magnetization: 0.0 μB/cell
* DOS at the Fermi energy: 18.7 states/eV per cell

a b c (Å): 5.6204 9.0100 9.9116
angles (deg): 123.22 90.00 108.17
Sites, in units of the cell vectors:
Dy (0.6144, 0.2287, 0.6560)
Dy (0.7121, 0.4242, 0.4274)
Dy (0.3856, 0.7713, 0.3440)
Dy (0.0430, 0.0860, 0.3835)
Dy (0.9570, 0.9140, 0.6165)
Dy (0.2879, 0.5758, 0.5726)
Pm (0.2336, 0.4673, 0.8775)
Pm (0.7664, 0.5327, 0.1225)
Pm (0.4939, 0.9877, 0.1440)
Pm (0.5061, 0.0123, 0.8560)
Ho (0.8694, 0.7388, 0.8711)
Ho (0.1306, 0.2612, 0.1289)

<B>
Computed, not measured: Pm2Dy3Ho after structural relaxation at the PBE-GGA level of DFT.

* magnetization: 0.0 μB/cell
* DOS at the Fermi energy: 17.8 states/eV per cell

a b c (Å): 3.5605 11.8173 13.7283
angles (deg): 43.55 82.55 81.34
Sites, in units of the cell vectors:
Dy (0.2002, 0.9655, 0.6341)
Dy (0.0680, 0.9843, 0.8797)
Dy (0.7998, 0.0345, 0.3659)
Dy (0.3110, 0.3354, 0.0427)
Dy (0.9320, 0.0157, 0.1203)
Dy (0.6890, 0.6646, 0.9573)
Ho (0.5541, 0.6967, 0.1951)
Ho (0.4459, 0.3033, 0.8049)
Pm (0.4230, 0.7053, 0.4486)
Pm (0.5770, 0.2947, 0.5514)
Pm (0.1763, 0.3632, 0.2842)
Pm (0.8237, 0.6368, 0.7158)

Which structure is the most stable? The one labeled <B>.